Entry from Alexandria: a relaxed structure of Li2Sb2Cl7 (PBE).

Properties
E_tot ... -3.31 eV/atom
Total magnetization ... 0.000 Bohr magnetons per cell
E_form (uncorrected) ... -11.36 eV per formula unit

Cell lengths 7.3395, 7.3395, 12.8601 Å; angles 96.19, 96.19, 71.14 degrees
Fractional positions:
1 Li 0.0361 0.2257 0.4831
2 Li 0.2257 0.0361 0.9831
3 Li 0.7743 0.9639 0.0169
4 Li 0.9639 0.7743 0.5169
5 Sb 0.1415 0.4084 0.1959
6 Sb 0.4084 0.1415 0.6959
7 Sb 0.5916 0.8585 0.3041
8 Sb 0.8585 0.5916 0.8041
9 Cl 0.0303 0.8345 0.8920
10 Cl 0.1284 0.4545 0.6232
11 Cl 0.1563 0.3137 0.8741
12 Cl 0.1655 0.9697 0.6080
13 Cl 0.3137 0.1563 0.3741
14 Cl 0.3464 0.6536 0.2500
15 Cl 0.4545 0.1284 0.1232
16 Cl 0.5455 0.8716 0.8768
17 Cl 0.6536 0.3464 0.7500
18 Cl 0.6863 0.8437 0.6259
19 Cl 0.8345 0.0303 0.3920
20 Cl 0.8437 0.6863 0.1259
21 Cl 0.8716 0.5455 0.3768
22 Cl 0.9697 0.1655 0.1080



Entry from Alexandria: a relaxed structure of LiSb2Cl8 (PBE).

Properties
E_tot ... -3.12 eV/atom
Total magnetization ... 0.343 Bohr magnetons per cell
Energy above the most stable polymorph in this dataset ... 26 meV/atom
E_form (uncorrected) ... -9.38 eV per formula unit

Cell lengths 7.9204, 7.9204, 7.1320 Å; angles 102.53, 102.53, 70.23 degrees
Fractional positions:
1 Li 0.0000 0.0000 0.0000
2 Sb 0.1296 0.1296 0.6136
3 Sb 0.8704 0.8704 0.3864
4 Cl 0.1105 0.7054 0.1888
5 Cl 0.1674 0.1674 0.2767
6 Cl 0.2946 0.8895 0.8112
7 Cl 0.3150 0.3150 0.7576
8 Cl 0.6850 0.6850 0.2424
9 Cl 0.7054 0.1105 0.1888
10 Cl 0.8326 0.8326 0.7233
11 Cl 0.8895 0.2946 0.8112



Entry from Alexandria: a relaxed structure of Li2SbCl (PBE).

Properties
E_tot ... -3.40 eV/atom
Total magnetization ... 0.000 Bohr magnetons per cell
Energy above the most stable polymorph in this dataset ... 105 meV/atom
E_form (uncorrected) ... -3.82 eV per formula unit

Cell lengths 4.0469, 5.0507, 7.7261 Å; angles 90.00, 90.00, 90.00 degrees
Fractional positions:
1 Li 0.0000 0.0000 0.2047
2 Li 0.0000 0.0000 0.7953
3 Li 0.5000 0.5000 0.2047
4 Li 0.5000 0.5000 0.7953
5 Sb 0.0000 0.5000 0.5000
6 Sb 0.5000 0.0000 0.5000
7 Cl 0.0000 0.5000 0.0000
8 Cl 0.5000 0.0000 0.0000



Entry from Alexandria: a relaxed structure of Li2SbCl (PBE).

Properties
E_tot ... -3.46 eV/atom
Total magnetization ... 0.000 Bohr magnetons per cell
Energy above the most stable polymorph in this dataset ... 50 meV/atom
E_form (uncorrected) ... -4.04 eV per formula unit

Cell lengths 3.2583, 3.2785, 15.2208 Å; angles 90.00, 90.00, 90.00 degrees
Fractional positions:
1 Li 0.0000 0.0000 0.0000
2 Li 0.0000 0.5000 0.1989
3 Li 0.5000 0.0000 0.6989
4 Li 0.5000 0.5000 0.5000
5 Sb 0.0000 0.5000 0.8286
6 Sb 0.5000 0.0000 0.3286
7 Cl 0.0000 0.0000 0.5726
8 Cl 0.5000 0.5000 0.0726